(1)
Entry from Alexandria: a PBEsol-optimized structure of GeP2PtO (meta-GGA SCAN).

## Properties
Volume in A^3/atom: 17.09
Magnetic moment in μB per formula unit: 0.72
ΔE_f (raw) in meV/atom: 456
Energy in eV/atom: -22.81

Lattice parameters (Å, degrees): 3.7020 4.8038 4.8038 90.00 90.00 90.00
Fractional positions:
Ge: 0.5000 0.5000 0.5000
P: 0.0000 0.5000 0.0000
O: 0.5000 0.0000 0.0000
Pt: 0.0000 0.0000 0.0000
P: 0.0000 0.0000 0.5000

=====

(2)
Entry from Alexandria: a PBEsol-optimized structure of TiSiOs (meta-GGA SCAN).

## Properties
Volume in A^3/atom: 14.03
Magnetic moment in μB per formula unit: 0.00
ΔE_f (raw) in meV/atom: -886
Energy in eV/atom: -33.53

Lattice parameters (Å, degrees): 6.4534 7.3310 7.0358 61.32 90.00 116.11
Fractional positions:
Si: 0.6721 0.3347 0.8255
Si: 0.3375 0.6653 0.1745
Os: 0.0028 0.2537 0.4098
Os: 0.2547 0.0000 0.5000
Ti: 0.5801 0.9919 0.7540
Os: 0.7491 0.7463 0.5902
Os: 0.2547 0.0000 0.0000
Os: 0.0028 0.2537 0.8364
Ti: 0.0105 0.6086 0.4457
Si: 0.0255 0.0662 0.2169
Ti: 0.4018 0.3914 0.5543
Ti: 0.0067 0.5532 0.9734
Si: 0.9593 0.9338 0.7831
Si: 0.6721 0.3347 0.3398
Ti: 0.4535 0.4468 0.0266
Ti: 0.5882 0.0081 0.2460
Os: 0.7491 0.7463 0.1636
Si: 0.3375 0.6653 0.6602

=====

(3)
Entry from Alexandria: a PBEsol-optimized structure of MnBe2Zn (meta-GGA SCAN).

## Properties
Volume in A^3/atom: 9.90
Magnetic moment in μB per formula unit: 0.99
ΔE_f in eV/atom: 0.0359
Energy in eV/atom: -10.08

Lattice parameters (Å, degrees): 3.2082 3.2082 4.4653 111.05 111.05 90.00
Fractional positions:
Be: 0.7500 0.2500 0.5000
Zn: 0.2500 0.7500 0.5000
Be: 0.0000 0.0000 0.0000
Mn: 0.5000 0.5000 0.0000

=====

(4)
Entry from Alexandria: a PBEsol-optimized structure of CdCu (meta-GGA SCAN).

## Properties
Volume in A^3/atom: 15.41
Magnetic moment in μB per formula unit: 0.00
ΔE_f in eV/atom: 0.0643
Energy in eV/atom: -22.74

Lattice parameters (Å, degrees): 3.0532 4.4595 5.2730 115.02 106.83 90.00
Fractional positions:
Cd: 0.8894 0.6394 0.7788
Cd: 0.1106 0.3606 0.2212
Cu: 0.6436 0.8936 0.2872
Cu: 0.3564 0.1064 0.7128

=====

(5)
Entry from Alexandria: a PBEsol-optimized structure of WAuBr3 (meta-GGA SCAN).

## Properties
Volume in A^3/atom: 24.32
Magnetic moment in μB per formula unit: 1.62
ΔE_f (raw) in meV/atom: 680
Energy above the most stable polymorph in this dataset in meV per atom: 0
Energy in eV/atom: -38.76

Lattice parameters (Å, degrees): 4.9541 4.9541 4.9541 90.00 90.00 90.00
Fractional positions:
W: 0.0000 0.0000 0.0000
Br: 0.0000 0.5000 0.0000
Br: 0.0000 0.0000 0.5000
Au: 0.5000 0.5000 0.5000
Br: 0.5000 0.0000 0.0000

=====

(6)
Entry from Alexandria: a PBEsol-optimized structure of LaAgAu (meta-GGA SCAN).

## Properties
Volume in A^3/atom: 23.25
Magnetic moment in μB per formula unit: 0.00
ΔE_f in eV/atom: -0.7113
Energy above the most stable polymorph in this dataset in meV per atom: 0
Energy in eV/atom: -48.59

Lattice parameters (Å, degrees): 3.6239 4.7142 4.7142 120.00 90.00 90.00
Fractional positions:
Au: 0.0000 0.3333 0.6667
Ag: 0.0000 0.0000 0.0000
La: 0.5000 0.6667 0.3333

=====

(7)
Entry from Alexandria: a PBEsol-optimized structure of CoRh (meta-GGA SCAN).

## Properties
Volume in A^3/atom: 12.06
Magnetic moment in μB per formula unit: 2.68
ΔE_f in eV/atom: 0.0587
Energy in eV/atom: -25.48

Lattice parameters (Å, degrees): 2.6074 4.4082 6.2954 91.27 90.00 90.00
Fractional positions:
Rh: 0.5000 0.1770 0.8393
Rh: 0.5000 0.8230 0.1607
Rh: 0.0000 0.0000 0.5000
Co: 0.0000 0.6626 0.8249
Co: 0.5000 0.5000 0.5000
Co: 0.0000 0.3374 0.1751

=====

(8)
Entry from Alexandria: a PBEsol-optimized structure of ReAsBr2O (meta-GGA SCAN).

## Properties
Volume in A^3/atom: 23.61
Magnetic moment in μB per formula unit: 0.47
ΔE_f (raw) in meV/atom: 916
Energy in eV/atom: -26.37

Lattice parameters (Å, degrees): 4.7159 5.0036 5.0036 90.00 90.00 90.00
Fractional positions:
Re: 0.0000 0.0000 0.0000
As: 0.5000 0.0000 0.0000
O: 0.5000 0.5000 0.5000
Br: 0.0000 0.0000 0.5000
Br: 0.0000 0.5000 0.0000

=====

(9)
Entry from Alexandria: a PBEsol-optimized structure of Li6CuO4 (meta-GGA SCAN).

## Properties
Volume in A^3/atom: 8.78
Magnetic moment in μB per formula unit: 1.01
ΔE_f (raw) in meV/atom: -1778
Energy in eV/atom: -6.73

Lattice parameters (Å, degrees): 4.5152 6.5408 6.5408 90.00 90.00 90.00
Fractional positions:
O: 0.8051 0.0000 0.7323
Cu: 0.5000 0.5000 0.5000
O: 0.8051 0.0000 0.2677
O: 0.1949 0.2677 0.0000
Li: 0.0658 0.0000 0.5000
Li: 0.0000 0.7170 0.2830
Li: 0.5000 0.2170 0.2170
Cu: 0.0000 0.0000 0.0000
Li: 0.0000 0.2830 0.7170
O: 0.3051 0.2323 0.5000
Li: 0.0000 0.2830 0.2830
Li: 0.5000 0.7830 0.7830
Li: 0.5000 0.2170 0.7830
Li: 0.9342 0.5000 0.0000
Li: 0.5000 0.7830 0.2170
O: 0.6949 0.5000 0.2323
Li: 0.0000 0.7170 0.7170
Li: 0.4342 0.5000 0.0000
Li: 0.5658 0.0000 0.5000
O: 0.6949 0.5000 0.7677
O: 0.3051 0.7677 0.5000
O: 0.1949 0.7323 0.0000

=====

(10)
Entry from Alexandria: a PBEsol-optimized structure of YAu2F2 (meta-GGA SCAN).

## Properties
Volume in A^3/atom: 16.62
Magnetic moment in μB per formula unit: 0.00
ΔE_f (raw) in meV/atom: -1287
Energy in eV/atom: -35.93

Lattice parameters (Å, degrees): 3.8220 3.8220 6.2981 107.66 107.66 90.00
Fractional positions:
Au: 0.6189 0.6189 0.2378
Au: 0.3811 0.3811 0.7622
F: 0.2500 0.7500 0.5000
F: 0.7500 0.2500 0.5000
Y: 0.0000 0.0000 0.0000

=====

(11)
Entry from Alexandria: a PBEsol-optimized structure of Ba4Cu3SeO6 (meta-GGA SCAN).

## Properties
Volume in A^3/atom: 16.97
Magnetic moment in μB per formula unit: 0.00
ΔE_f (raw) in meV/atom: -1911
Energy in eV/atom: -20.57

Lattice parameters (Å, degrees): 6.7583 6.7583 6.7583 109.47 109.47 109.47
Fractional positions:
Cu: 0.5000 0.5000 0.0000
O: 0.5000 0.2500 0.7500
O: 0.2500 0.5000 0.7500
Ba: 0.5000 0.0000 0.0000
Ba: 0.5000 0.5000 0.5000
Se: 0.0000 0.0000 0.0000
O: 0.7500 0.2500 0.5000
O: 0.5000 0.7500 0.2500
O: 0.2500 0.7500 0.5000
Cu: 0.5000 0.0000 0.5000
Cu: 0.0000 0.5000 0.5000
Ba: 0.0000 0.0000 0.5000
Ba: 0.0000 0.5000 0.0000
O: 0.7500 0.5000 0.2500

=====

(12)
Entry from Alexandria: a PBEsol-optimized structure of Li2MoSe (meta-GGA SCAN).

## Properties
Volume in A^3/atom: 14.89
Magnetic moment in μB per formula unit: 0.00
ΔE_f (raw) in meV/atom: -135
Energy in eV/atom: -15.07

Lattice parameters (Å, degrees): 3.2401 3.2401 5.6732 90.00 90.00 90.00
Fractional positions:
Li: 0.5000 0.5000 0.2487
Se: 0.5000 0.5000 0.7218
Mo: 0.0000 0.0000 0.5215
Li: 0.0000 0.0000 0.0079